Entry 1:
9
Lattice="-0.170 -0.812 4.838 3.452 -3.459 -0.459 5.306 5.156 1.051" Properties=species:S:1:pos:R:3 comment="Li2LaMgAg5 (PBE-GGA, optimized geometry)" m_tot_mub_per_cell=0.000 pbc="T T T"
Li 6.119 2.216 3.077
Li 2.469 -1.331 2.353
Ag 4.084 3.645 3.245
Ag 2.864 -0.624 -0.004
Ag 1.053 0.700 2.644
Ag 5.895 2.321 0.596
Ag 4.294 0.443 2.715
Mg 0.000 0.000 0.000
La 2.653 2.578 0.526

***

Entry 2:
16
Lattice="-1.097 -4.003 -5.689 -5.188 -6.104 5.295 -9.133 5.769 -2.299" Properties=species:S:1:pos:R:3 comment="Ba4Te3O (PBE-GGA, optimized geometry)" e_form_raw_ev_per_atom=-1.80 m_tot_mub_per_cell=0.000 pbc="T T T"
Ba -8.862 2.372 -0.560
Ba -10.725 -2.374 -1.220
Ba -5.683 0.035 -3.866
Ba -3.633 -0.931 0.756
Ba -4.766 -5.786 4.412
Ba -8.909 -2.597 2.345
Ba -1.696 -3.725 -2.610
Ba -6.821 -4.840 -0.237
Te -5.033 -7.436 1.332
Te -5.399 1.745 -0.700
Te -9.015 -0.060 -3.094
Te -5.628 -2.975 2.662
Te -10.551 0.135 1.423
Te -4.805 -2.719 -2.034
O -9.352 -4.093 0.353
O -2.041 -5.104 -4.703

***

Number 1: total energy -0.10438 Ha/atom. Number 2: total energy -0.16769 Ha/atom.